Entry 1:
The following is a DFT calculation (GGA-PBE) of a relaxed Be2Ag2O5 crystal.

Results
As for the volume: 9.23 Å³ per atom. For the energy above the most stable polymorph in this dataset, the calculation gives 0 meV per atom.

```
data_Be2Ag2O5
_chemical_formula_sum 'Be2 Ag2 O5'
_space_group_name_H-M_alt 'P 4/m m m'
_space_group_IT_number 123
_space_group_name_Hall '-P 4 2'
_cell_length_a 3.430
_cell_length_b 3.430
_cell_length_c 7.064
_cell_angle_alpha 90.00
_cell_angle_beta 90.00
_cell_angle_gamma 90.00
loop_
_atom_site_label
_atom_site_fract_x
_atom_site_fract_y
_atom_site_fract_z
Be1 0.000 0.000 0.231
Ag1 0.500 0.500 0.000
Ag2 0.500 0.500 0.500
O1 0.000 0.000 0.000
O2 0.000 0.500 0.302
```

---

Entry 2:
The following is a DFT calculation (GGA-PBE) of a relaxed PrSm2Cu4Ge4 crystal.

Results
As for the volume: 18.81 Å³ per atom. For the magnetization, the calculation gives 0.00 μB/cell.

```
data_PrSm2Cu4Ge4
_chemical_formula_sum 'Pr2 Sm4 Cu8 Ge8'
_space_group_name_H-M_alt 'I m m m'
_space_group_IT_number 71
_space_group_name_Hall '-I 2 2'
_cell_length_a 4.291
_cell_length_b 6.773
_cell_length_c 14.238
_cell_angle_alpha 90.00
_cell_angle_beta 90.00
_cell_angle_gamma 90.00
loop_
_atom_site_label
_atom_site_fract_x
_atom_site_fract_y
_atom_site_fract_z
Pr1 0.000 0.000 0.000
Sm1 0.000 0.500 0.131
Cu1 0.000 0.313 0.332
Ge1 0.000 0.000 0.218
Ge2 0.000 0.187 0.500
```

---

Entry 3:
The following is a DFT calculation (GGA-PBE) of a relaxed HfOsO4 crystal.

Results
As for the volume: 10.13 Å³ per atom. For the magnetization, the calculation gives 0.00 μB/cell.

```
data_HfOsO4
_chemical_formula_sum 'Hf4 Os4 O16'
_space_group_name_H-M_alt 'I 41/a m d'
_space_group_IT_number 141
_cell_length_a 4.933
_cell_length_b 4.933
_cell_length_c 9.986
_cell_angle_alpha 90.00
_cell_angle_beta 90.00
_cell_angle_gamma 90.00
loop_
_space_group_symop_operation_xyz
'x,y,z'
'-x,-y,-z'
'-y+1/4,x+3/4,z+1/4'
'y+1/4,-x+3/4,-z+1/4'
'-x+1/2,-y,z+1/2'
'x+1/2,y,-z+1/2'
'y+1/4,-x+1/4,z+3/4'
'-y+1/4,x+1/4,-z+3/4'
'x,-y,-z'
'-x,y,z'
'-y+1/4,-x+1/4,-z+3/4'
'y+1/4,x+1/4,z+3/4'
'-x+1/2,y,-z+1/2'
'x+1/2,-y,z+1/2'
'y+1/4,x+3/4,-z+1/4'
'-y+1/4,-x+3/4,z+1/4'
'x+1/2,y+1/2,z+1/2'
'-x+1/2,-y+1/2,-z+1/2'
'-y+3/4,x+1/4,z+3/4'
'y+3/4,-x+1/4,-z+3/4'
'-x,-y+1/2,z'
'x,y+1/2,-z'
'y+3/4,-x+3/4,z+1/4'
'-y+3/4,x+3/4,-z+1/4'
'x+1/2,-y+1/2,-z+1/2'
'-x+1/2,y+1/2,z+1/2'
'-y+3/4,-x+3/4,-z+1/4'
'y+3/4,x+3/4,z+1/4'
'-x,y+1/2,-z'
'x,-y+1/2,z'
'y+3/4,x+1/4,-z+3/4'
'-y+3/4,-x+1/4,z+3/4'
loop_
_atom_site_label
_atom_site_fract_x
_atom_site_fract_y
_atom_site_fract_z
Hf1 0.000 0.250 0.375
Os1 0.000 0.250 0.875
O1 0.242 0.000 0.000
```

---

Entry 4:
The following is a DFT calculation (GGA-PBE) of a relaxed YTmTeO2 crystal.

Results
As for the volume: 18.43 Å³ per atom. For the energy above the most stable polymorph in this dataset, the calculation gives 77 meV per atom. For the magnetization, the calculation gives 0.00 μB/cell.

```
data_YTmTeO2
_chemical_formula_sum 'Y1 Tm1 Te1 O2'
_space_group_name_H-M_alt 'P 3 m 1'
_space_group_IT_number 156
_space_group_name_Hall 'P 3 -2"'
_cell_length_a 3.8601
_cell_length_b 3.8601
_cell_length_c 7.1412
_cell_angle_alpha 90.00
_cell_angle_beta 90.00
_cell_angle_gamma 120.00
loop_
_atom_site_label
_atom_site_fract_x
_atom_site_fract_y
_atom_site_fract_z
Y1 0.0000 0.0000 0.0000
Tm1 0.3333 0.6667 0.6097
Te1 0.6667 0.3333 0.3062
O1 0.0000 0.0000 0.6791
O2 0.3333 0.6667 0.9205
```

---

The evaluated raw total energy for the records listed, in turn: -5.00 -4.94 -8.81 -7.68 eV per atom.